{"formula": "CsMg3Cu", "functional": "PBE-GGA", "state": "optimized geometry", "lattice": [[5.273, 0.000, 0.000], [0.000, 5.273, 0.000], [0.000, 0.000, 5.273]], "species": ["Cs", "Mg", "Mg", "Mg", "Cu"], "fractional_positions": [[0.000, 0.000, 0.000], [0.000, 0.500, 0.500], [0.500, 0.000, 0.500], [0.500, 0.500, 0.000], [0.500, 0.500, 0.500]], "sg": "Pm-3m, No. 221", "e_above_lowest_polymorph_mev_per_atom": 0.0, "delta_e_f_ev_per_atom": 0.2362, "crystal_system": "cubic", "volume_a3_per_atom": 29.33}



{"formula": "Al2NiGeS", "functional": "PBE-GGA", "state": "optimized geometry", "lattice": [[4.539, 0.000, 0.000], [0.000, 4.539, 0.000], [0.000, 0.000, 4.867]], "species": ["Al", "Al", "Ni", "Ge", "S"], "fractional_positions": [[0.000, 0.500, 0.000], [0.500, 0.000, 0.000], [0.000, 0.000, 0.500], [0.500, 0.500, 0.500], [0.500, 0.500, 0.000]], "sg": "P4/mmm, No. 123", "raw_formation_energy_ev_per_atom": 0.72, "crystal_system": "tetragonal", "volume_a3_per_atom": 20.05}



{"formula": "ZrTe2Os", "functional": "PBE-GGA", "state": "optimized geometry", "lattice": [[3.318, 0.000, 0.000], [0.000, 3.976, 0.000], [0.000, 0.000, 7.721]], "species": ["Zr", "Te", "Te", "Os"], "fractional_positions": [[0.000, 0.000, 0.000], [0.000, 0.000, 0.636], [0.500, 0.500, 0.207], [0.500, 0.500, 0.852]], "sg": "Pmm2, No. 25", "e_above_lowest_polymorph_mev_per_atom": 215.7, "raw_formation_energy_ev_per_atom": -0.09, "crystal_system": "orthorhombic", "volume_a3_per_atom": 25.47}



{"formula": "Li2CoRu", "functional": "PBE-GGA", "state": "optimized geometry", "lattice": [[8.444, 0.000, 0.000], [0.000, 2.520, 0.000], [-0.500, 0.000, 4.832]], "species": ["Li", "Li", "Li", "Li", "Co", "Co", "Ru", "Ru"], "fractional_positions": [[0.000, 0.000, 0.000], [0.241, 0.000, 0.796], [0.500, 0.500, 0.000], [0.741, 0.500, 0.796], [0.499, 0.000, 0.478], [0.999, 0.500, 0.478], [0.255, 0.500, 0.319], [0.755, 0.000, 0.319]], "sg": "Cm, No. 8", "e_above_lowest_polymorph_mev_per_atom": 39.1, "delta_e_f_ev_per_atom": 0.1624, "crystal_system": "monoclinic", "volume_a3_per_atom": 12.85}



{"formula": "RbAgTe2", "functional": "PBE-GGA", "state": "optimized geometry", "lattice": [[3.880, 0.000, 0.000], [-1.940, 3.360, 0.000], [0.000, 0.000, 32.639]], "species": ["Rb", "Rb", "Rb", "Ag", "Ag", "Ag", "Te", "Te", "Te", "Te", "Te", "Te"], "fractional_positions": [[0.000, 0.000, 0.000], [0.333, 0.667, 0.667], [0.667, 0.333, 0.333], [0.000, 0.000, 0.500], [0.333, 0.667, 0.167], [0.667, 0.333, 0.833], [0.000, 0.000, 0.419], [0.000, 0.000, 0.581], [0.333, 0.667, 0.086], [0.333, 0.667, 0.247], [0.667, 0.333, 0.753], [0.667, 0.333, 0.914]], "sg": "R-3m, No. 166", "raw_formation_energy_ev_per_atom": -0.05, "crystal_system": "trigonal", "volume_a3_per_atom": 35.47}



{"formula": "Ta2AlBF", "functional": "PBE-GGA", "state": "optimized geometry", "lattice": [[4.530, 0.000, 0.000], [0.000, 4.530, 0.000], [0.000, 0.000, 3.683]], "species": ["Ta", "Ta", "Al", "B", "F"], "fractional_positions": [[0.000, 0.500, 0.000], [0.500, 0.000, 0.000], [0.000, 0.000, 0.500], [0.500, 0.500, 0.000], [0.500, 0.500, 0.500]], "sg": "P4/mmm, No. 123", "raw_formation_energy_ev_per_atom": 0.26, "crystal_system": "tetragonal", "volume_a3_per_atom": 15.12}



{"formula": "SrZrAg2", "functional": "PBE-GGA", "state": "optimized geometry", "lattice": [[11.482, 0.000, 0.000], [0.000, 3.172, 0.000], [-1.396, 0.000, 5.241]], "species": ["Sr", "Sr", "Zr", "Zr", "Ag", "Ag", "Ag", "Ag"], "fractional_positions": [[0.000, 0.000, 0.000], [0.500, 0.500, 0.000], [0.294, 0.500, 0.388], [0.794, 0.000, 0.388], [0.042, 0.500, 0.518], [0.244, 0.000, 0.851], [0.542, 0.000, 0.518], [0.744, 0.500, 0.851]], "sg": "Cm, No. 8", "e_above_lowest_polymorph_mev_per_atom": 182.3, "delta_e_f_ev_per_atom": 0.1343, "crystal_system": "monoclinic", "volume_a3_per_atom": 23.86}



{"formula": "SrTa2Te", "functional": "PBE-GGA", "state": "optimized geometry", "lattice": [[4.699, 0.000, 0.000], [0.000, 4.699, 0.000], [0.000, 0.000, 20.804]], "species": ["Sr", "Sr", "Sr", "Sr", "Ta", "Ta", "Ta", "Ta", "Ta", "Ta", "Ta", "Ta", "Te", "Te", "Te", "Te"], "fractional_positions": [[0.000, 0.000, 0.000], [0.000, 0.500, 0.250], [0.500, 0.000, 0.750], [0.500, 0.500, 0.500], [0.100, 0.750, 0.625], [0.250, 0.100, 0.375], [0.250, 0.400, 0.875], [0.400, 0.750, 0.125], [0.600, 0.250, 0.125], [0.750, 0.600, 0.875], [0.750, 0.900, 0.375], [0.900, 0.250, 0.625], [0.000, 0.000, 0.500], [0.000, 0.500, 0.750], [0.500, 0.000, 0.250], [0.500, 0.500, 0.000]], "sg": "I-42d, No. 122", "e_above_lowest_polymorph_mev_per_atom": 544.2, "raw_formation_energy_ev_per_atom": 0.67, "crystal_system": "tetragonal", "volume_a3_per_atom": 28.71}



{"formula": "La2Tb4PrTm", "functional": "PBE-GGA", "state": "optimized geometry", "lattice": [[6.878, -6.678, 0.000], [6.878, 6.678, 0.000], [-3.405, 0.000, 5.939]], "species": ["La", "La", "La", "La", "Tb", "Tb", "Tb", "Tb", "Tb", "Tb", "Tb", "Tb", "Pr", "Pr", "Tm", "Tm"], "fractional_positions": [[0.000, 0.000, 0.000], [0.000, 0.000, 0.500], [0.000, 0.500, 0.000], [0.500, 0.000, 0.500], [0.256, 0.257, 0.008], [0.257, 0.256, 0.508], [0.257, 0.743, 0.501], [0.257, 0.743, 0.999], [0.743, 0.257, 0.001], [0.743, 0.257, 0.499], [0.743, 0.744, 0.492], [0.744, 0.743, 0.992], [0.000, 0.500, 0.500], [0.500, 0.000, 0.000], [0.500, 0.500, 0.000], [0.500, 0.500, 0.500]], "sg": "C2/c, No. 15", "delta_e_f_ev_per_atom": 0.3862, "crystal_system": "monoclinic", "volume_a3_per_atom": 34.10}



{"formula": "TlCuSn", "functional": "PBE-GGA", "state": "optimized geometry", "lattice": [[4.411, 0.000, 0.000], [-2.205, 3.820, 0.000], [0.000, 0.000, 11.846]], "species": ["Tl", "Tl", "Cu", "Cu", "Sn", "Sn"], "fractional_positions": [[0.000, 0.000, 0.250], [0.000, 0.000, 0.750], [0.333, 0.667, 0.250], [0.667, 0.333, 0.750], [0.000, 0.000, 0.000], [0.000, 0.000, 0.500]], "sg": "P6_3/mmc, No. 194", "delta_e_f_ev_per_atom": 0.8145, "crystal_system": "hexagonal", "volume_a3_per_atom": 33.27}



{"formula": "Th2TePb", "functional": "PBE-GGA", "state": "optimized geometry", "lattice": [[4.578, 0.000, 0.000], [-2.289, 3.965, 0.000], [0.000, 0.000, 21.763]], "species": ["Th", "Th", "Th", "Th", "Th", "Th", "Te", "Te", "Te", "Pb", "Pb", "Pb"], "fractional_positions": [[0.000, 0.000, 0.249], [0.000, 0.000, 0.751], [0.333, 0.667, 0.418], [0.333, 0.667, 0.916], [0.667, 0.333, 0.084], [0.667, 0.333, 0.582], [0.000, 0.000, 0.500], [0.333, 0.667, 0.167], [0.667, 0.333, 0.833], [0.000, 0.000, 0.000], [0.333, 0.667, 0.667], [0.667, 0.333, 0.333]], "sg": "R-3m, No. 166", "e_above_lowest_polymorph_mev_per_atom": 0.0, "raw_formation_energy_ev_per_atom": -0.66, "crystal_system": "trigonal", "volume_a3_per_atom": 32.92}



{"formula": "LaPr12Tl4O3", "functional": "PBE-GGA", "state": "optimized geometry", "lattice": [[-5.178, 5.178, 5.178], [5.178, -5.178, 5.178], [5.178, 5.178, -5.178]], "species": ["La", "Pr", "Pr", "Pr", "Pr", "Pr", "Pr", "Pr", "Pr", "Pr", "Pr", "Pr", "Pr", "Tl", "Tl", "Tl", "Tl", "O", "O", "O"], "fractional_positions": [[0.000, 0.000, 0.000], [0.000, 0.272, 0.272], [0.000, 0.728, 0.728], [0.250, 0.500, 0.750], [0.250, 0.750, 0.500], [0.272, 0.000, 0.272], [0.272, 0.272, 0.000], [0.500, 0.250, 0.750], [0.500, 0.750, 0.250], [0.728, 0.000, 0.728], [0.728, 0.728, 0.000], [0.750, 0.250, 0.500], [0.750, 0.500, 0.250], [0.000, 0.000, 0.500], [0.000, 0.500, 0.000], [0.500, 0.000, 0.000], [0.500, 0.500, 0.500], [0.000, 0.500, 0.500], [0.500, 0.000, 0.500], [0.500, 0.500, 0.000]], "sg": "Im-3m, No. 229", "raw_formation_energy_ev_per_atom": -0.76, "crystal_system": "cubic", "volume_a3_per_atom": 27.76}



{"formula": "Ca3ScTl12", "functional": "PBE-GGA", "state": "optimized geometry", "lattice": [[4.845, 0.000, 0.000], [0.000, 4.845, 0.000], [0.000, 0.000, 19.041]], "species": ["Ca", "Ca", "Ca", "Sc", "Tl", "Tl", "Tl", "Tl", "Tl", "Tl", "Tl", "Tl", "Tl", "Tl", "Tl", "Tl"], "fractional_positions": [[0.000, 0.000, 0.000], [0.000, 0.000, 0.257], [0.000, 0.000, 0.743], [0.000, 0.000, 0.500], [0.000, 0.500, 0.127], [0.000, 0.500, 0.382], [0.000, 0.500, 0.618], [0.000, 0.500, 0.873], [0.500, 0.000, 0.127], [0.500, 0.000, 0.382], [0.500, 0.000, 0.618], [0.500, 0.000, 0.873], [0.500, 0.500, 0.000], [0.500, 0.500, 0.253], [0.500, 0.500, 0.500], [0.500, 0.500, 0.747]], "sg": "P4/mmm, No. 123", "delta_e_f_ev_per_atom": -0.1954, "crystal_system": "tetragonal", "volume_a3_per_atom": 27.94}



{"formula": "Ir3RuPb", "functional": "PBE-GGA", "state": "optimized geometry", "lattice": [[4.763, 0.000, 0.000], [0.000, 4.763, 0.000], [0.000, 0.000, 4.763]], "species": ["Ir", "Ir", "Ir", "Ru", "Pb"], "fractional_positions": [[0.000, 0.000, 0.500], [0.000, 0.500, 0.000], [0.500, 0.000, 0.000], [0.000, 0.000, 0.000], [0.500, 0.500, 0.500]], "sg": "Pm-3m, No. 221", "e_above_lowest_polymorph_mev_per_atom": 0.0, "delta_e_f_ev_per_atom": 1.4694, "crystal_system": "cubic", "volume_a3_per_atom": 21.61}



{"formula": "Co3Os", "functional": "PBE-GGA", "state": "optimized geometry", "lattice": [[4.503, 0.000, 0.000], [0.000, 4.503, 0.000], [0.000, 0.000, 4.503]], "species": ["Co", "Co", "Co", "Os"], "fractional_positions": [[0.000, 0.000, 0.500], [0.000, 0.500, 0.000], [0.500, 0.000, 0.000], [0.000, 0.000, 0.000]], "sg": "Pm-3m, No. 221", "delta_e_f_ev_per_atom": 2.0812, "crystal_system": "cubic", "volume_a3_per_atom": 22.82}



{"formula": "Ga2AgF", "functional": "PBE-GGA", "state": "optimized geometry", "lattice": [[5.704, 0.000, 0.000], [0.000, 5.704, 0.000], [0.000, 0.000, 11.267]], "species": ["Ga", "Ga", "Ga", "Ga", "Ga", "Ga", "Ga", "Ga", "Ag", "Ag", "Ag", "Ag", "F", "F", "F", "F"], "fractional_positions": [[0.209, 0.250, 0.125], [0.250, 0.709, 0.375], [0.250, 0.791, 0.875], [0.291, 0.250, 0.625], [0.709, 0.750, 0.625], [0.750, 0.209, 0.875], [0.750, 0.291, 0.375], [0.791, 0.750, 0.125], [0.000, 0.000, 0.500], [0.000, 0.500, 0.750], [0.500, 0.000, 0.250], [0.500, 0.500, 0.000], [0.000, 0.000, 0.000], [0.000, 0.500, 0.250], [0.500, 0.000, 0.750], [0.500, 0.500, 0.500]], "sg": "I-42d, No. 122", "e_above_lowest_polymorph_mev_per_atom": 53.8, "raw_formation_energy_ev_per_atom": -0.47, "crystal_system": "tetragonal", "volume_a3_per_atom": 22.91}



{"formula": "Rb3YbP2O8", "functional": "PBE-GGA", "state": "optimized geometry", "lattice": [[5.799, 0.000, 0.000], [-2.900, 5.023, 0.000], [0.000, 0.000, 8.102]], "species": ["Rb", "Rb", "Rb", "Yb", "P", "P", "O", "O", "O", "O", "O", "O", "O", "O"], "fractional_positions": [[0.000, 0.000, 0.000], [0.333, 0.667, 0.741], [0.667, 0.333, 0.259], [0.000, 0.000, 0.500], [0.333, 0.667, 0.273], [0.667, 0.333, 0.727], [0.187, 0.373, 0.338], [0.187, 0.813, 0.338], [0.333, 0.667, 0.084], [0.373, 0.187, 0.662], [0.627, 0.813, 0.338], [0.667, 0.333, 0.916], [0.813, 0.187, 0.662], [0.813, 0.627, 0.662]], "sg": "P-3m1, No. 164", "raw_formation_energy_ev_per_atom": -2.42, "crystal_system": "trigonal", "volume_a3_per_atom": 16.86}



{"formula": "LiCuMo2", "functional": "PBE-GGA", "state": "optimized geometry", "lattice": [[3.200, 0.000, 0.000], [0.000, 3.200, 0.000], [0.000, 0.000, 5.697]], "species": ["Li", "Cu", "Mo", "Mo"], "fractional_positions": [[0.000, 0.000, 0.000], [0.500, 0.500, 0.787], [0.000, 0.000, 0.507], [0.500, 0.500, 0.281]], "sg": "P4mm, No. 99", "e_above_lowest_polymorph_mev_per_atom": 142.0, "delta_e_f_ev_per_atom": 0.3174, "crystal_system": "tetragonal", "volume_a3_per_atom": 14.59}



{"formula": "YF", "functional": "PBE-GGA", "state": "optimized geometry", "lattice": [[3.906, 0.000, 0.000], [-1.953, 3.383, 0.000], [0.000, 0.000, 6.711]], "species": ["Y", "Y", "F", "F"], "fractional_positions": [[0.333, 0.667, 0.250], [0.667, 0.333, 0.750], [0.333, 0.667, 0.750], [0.667, 0.333, 0.250]], "sg": "P6_3/mmc, No. 194", "e_above_lowest_polymorph_mev_per_atom": 310.2, "raw_formation_energy_ev_per_atom": -2.28, "crystal_system": "hexagonal", "volume_a3_per_atom": 22.17}



{"formula": "HfThPt2", "functional": "PBE-GGA", "state": "optimized geometry", "lattice": [[4.597, 0.000, 0.000], [-2.298, 3.981, 0.000], [0.000, 0.000, 14.590]], "species": ["Hf", "Hf", "Hf", "Th", "Th", "Th", "Pt", "Pt", "Pt", "Pt", "Pt", "Pt"], "fractional_positions": [[0.000, 0.000, 0.000], [0.333, 0.667, 0.667], [0.667, 0.333, 0.333], [0.000, 0.000, 0.500], [0.333, 0.667, 0.167], [0.667, 0.333, 0.833], [0.000, 0.000, 0.284], [0.000, 0.000, 0.716], [0.333, 0.667, 0.383], [0.333, 0.667, 0.950], [0.667, 0.333, 0.050], [0.667, 0.333, 0.617]], "sg": "R-3m, No. 166", "e_above_lowest_polymorph_mev_per_atom": 83.7, "delta_e_f_ev_per_atom": -1.0808, "crystal_system": "trigonal", "volume_a3_per_atom": 22.25}



Number 1: DOS(E_F) 1.83 states/eV/f.u.. Number 2: DOS(E_F) 2.32 states/eV/f.u.. Number 3: DOS(E_F) 3.18 states/eV/f.u.. Number 4: DOS(E_F) 2.83 states/eV/f.u.. Number 5: DOS(E_F) 2.75 states/eV/f.u.. Number 6: DOS(E_F) 5.35 states/eV/f.u.. Number 7: DOS(E_F) 4.56 states/eV/f.u.. Number 8: DOS(E_F) 4.65 states/eV/f.u.. Number 9: DOS(E_F) 19.22 states/eV/f.u.. Number 10: DOS(E_F) 2.06 states/eV/f.u.. Number 11: DOS(E_F) 3.47 states/eV/f.u.. Number 12: DOS(E_F) 20.30 states/eV/f.u.. Number 13: DOS(E_F) 9.59 states/eV/f.u.. Number 14: DOS(E_F) 5.62 states/eV/f.u.. Number 15: DOS(E_F) 9.18 states/eV/f.u.. Number 16: DOS(E_F) 1.50 states/eV/f.u.. Number 17: DOS(E_F) 12.43 states/eV/f.u.. Number 18: DOS(E_F) 2.68 states/eV/f.u.. Number 19: DOS(E_F) 0.36 states/eV/f.u.. Number 20: DOS(E_F) 2.35 states/eV/f.u..